A plane-wave DFT calculation with PBE was carried out for AgH3I after structural relaxation.

Cell lengths 3.9783, 3.9783, 3.9783 Å; angles 90.00, 90.00, 90.00 degrees
Last column: nearest neighbours and their distance in Å.
Positions (direct):
Ag1 0.0000 0.0000 0.0000  6 H 1.99
H1 0.0000 0.0000 0.5000  2 Ag 1.99
H2 0.0000 0.5000 0.0000  2 Ag 1.99
H3 0.5000 0.0000 0.0000  2 Ag 1.99
I1 0.5000 0.5000 0.5000  12 H 2.81

Output
Fermi-level density of states: 3.37 states/eV/f.u.
Total magnetic moment: 0.000 μB/atom
Total DFT energy (no corrections): -2.043 eV/atom
Theoretical density: 6.27 Mg/m³